Entry 1:
This record from the Open Quantum Materials Database describes crystalline GdHoCd2Au4 at its relaxed geometry. The functional is GGA-PBE.

- Total magnetic moment: 0.001 μB per atom
- Formation energy from the elements: -0.6787 eV/atom
- V: 21.3 Å³ per atom
- SG: P4/mmm, No. 123

Unit cell a=4.9390 b=4.9390 c=6.9796 alpha=90.00 beta=90.00 gamma=90.00
Closest atoms and distances in Å follow each position.
Sites, in units of the cell vectors:
Au 0.0000 0.5000 0.7466  4 Cd 3.01-3.04, 2 Ho 3.01, 2 Gd 3.04
Au 0.0000 0.5000 0.2534  4 Cd 3.01-3.04, 2 Ho 3.01, 2 Gd 3.04
Au 0.5000 0.0000 0.2534  4 Cd 3.01-3.04, 2 Ho 3.01, 2 Gd 3.04
Au 0.5000 0.0000 0.7466  4 Cd 3.01-3.04, 2 Ho 3.01, 2 Gd 3.04
Cd 0.5000 0.5000 0.0000  8 Au 3.04
Cd 0.0000 0.0000 0.5000  8 Au 3.01
Ho 0.5000 0.5000 0.5000  8 Au 3.01
Gd 0.0000 0.0000 0.0000  8 Au 3.04

***

Entry 2:
This record from the Open Quantum Materials Database describes crystalline Zr2SbPd at its relaxed geometry. The functional is GGA-PBE.

- Total magnetic moment: 0.358 μB per atom
- V: 20.6 Å³ per atom
- SG: F-43m, No. 216
- Calculated total energy: -6.736 eV/atom

Unit cell a=4.8825 b=4.8825 c=4.8825 alpha=60.00 beta=60.00 gamma=60.00
Closest atoms and distances in Å follow each position.
Sites, in units of the cell vectors:
Pd 0.2500 0.2500 0.2500  4 Sb 2.99, 4 Zr 2.99
Zr 0.0000 0.0000 0.0000  4 Pd 2.99, 4 Zr 2.99
Zr 0.7500 0.7500 0.7500  4 Sb 2.99, 4 Zr 2.99
Sb 0.5000 0.5000 0.5000  4 Pd 2.99, 4 Zr 2.99